Computed, not measured: a relaxed TmMg4Cd4 crystal at the PBE-GGA level of DFT.

The space group is P4_2/nmc (No. 137, origin choice 2) and the conventional cell measures 6.558, 6.558 and 9.941 Å, with angles of 90.00, 90.00 and 90.00 degrees. The distinct sites, in fractional coordinates, are Tm at (0.250, 0.750, 0.250), Mg at (0.030, 0.250, 0.176) and Cd at (0.016, 0.250, 0.471).

Its size of the total moment is 0.000 μB per formula unit.

***

Computed, not measured: a relaxed Tm3Mg12Cd crystal at the PBE-GGA level of DFT.

The space group is P4/mmm (No. 123) and the conventional cell measures 4.627, 4.627 and 18.008 Å, with angles of 90.00, 90.00 and 90.00 degrees. The distinct sites, in fractional coordinates, are Tm at (0.000, 0.000, 0.000), Tm at (0.000, 0.000, 0.261), Mg at (0.000, 0.500, 0.130), Mg at (0.000, 0.500, 0.388), Mg at (0.500, 0.500, 0.000), Mg at (0.500, 0.500, 0.264), Mg at (0.500, 0.500, 0.500) and Cd at (0.000, 0.000, 0.500).

Its size of the total moment is 0.000 μB per formula unit.

***

Computed formation energy (eV per atom) in order:
-0.034, -0.048